12
Lattice="6.4216 0.0000 0.0000 0.0000 3.1366 0.0000 0.0000 0.0000 5.6565" Properties=species:S:1:pos:R:3 comment="HfBH | Alexandria via LeMat-Bulk | PBE | relaxed" relative_energy_kj_per_mol_fu=24 crystal_system=orthorhombic pbc="T T T"
Hf 1.9986 0.7842 1.8568
Hf 4.4229 2.3525 3.7997
H 5.7090 2.3525 5.3870
B 6.3806 0.7842 3.1969
Hf 1.2122 2.3525 4.6850
H 0.7126 0.7842 0.2694
B 3.1698 0.7842 5.2879
Hf 5.2094 0.7842 0.9714
H 2.4982 2.3525 3.0977
B 0.0410 2.3525 2.4596
B 3.2518 2.3525 0.3686
H 3.9234 0.7842 2.5588

=====

5
Lattice="-0.1933 -4.4413 1.0998 4.5445 -0.0584 0.5627 -0.5317 1.1151 4.4098" Properties=species:S:1:pos:R:3 comment="HfB3H | Alexandria via LeMat-Bulk | PBE | relaxed" relative_energy_kj_per_mol_fu=859 crystal_system=cubic pbc="T T T"
B -0.2659 0.5576 2.2049
B -0.0966 -2.2207 0.5499
Hf 0.0000 0.0000 0.0000
B 2.2722 -0.0292 0.2814
H 1.9097 -1.6923 3.0362

=====

4
Lattice="0.2109 -2.4272 2.5192 -0.7059 0.8582 3.3237 -2.9170 -1.1900 1.5354" Properties=species:S:1:pos:R:3 comment="HfBH2 | Alexandria via LeMat-Bulk | PBE | relaxed" relative_energy_kj_per_mol_fu=0 crystal_system=cubic pbc="T T T"
H -2.5590 -2.0692 5.5337
Hf -1.7060 -1.3795 3.6891
B 0.0000 0.0000 0.0000
H -0.8530 -0.6897 1.8446

=====

8
Lattice="-1.0020 -3.0119 -1.2372 3.2379 -0.7853 -0.7106 1.7446 -4.4279 4.6763" Properties=species:S:1:pos:R:3 comment="HfB2H | Alexandria via LeMat-Bulk | PBE | relaxed" relative_energy_kj_per_mol_fu=80 crystal_system=tetragonal pbc="T T T"
B 2.0841 -2.7273 0.2610
Hf 0.0000 0.0000 0.0000
H 1.1180 -1.8986 -0.9739
Hf 0.9303 -4.6692 1.2326
B 2.4554 -6.4471 1.9806
B 0.4652 -2.3345 0.6163
B 2.9565 -4.9412 2.5991
H 3.0503 -3.5559 1.4959

=====

12
Lattice="5.2215 0.0000 0.0000 0.0000 3.7217 0.0000 0.0000 0.0000 6.1151" Properties=species:S:1:pos:R:3 comment="HfBH | Alexandria via LeMat-Bulk | PBE | relaxed" relative_energy_kj_per_mol_fu=111 crystal_system=orthorhombic pbc="T T T"
H 0.4837 2.7913 2.7497
H 3.0944 2.7913 0.3079
Hf 1.3716 0.9304 2.4859
H 4.7378 0.9304 3.3654
Hf 1.2391 2.7913 5.5434
B 5.1704 0.9304 4.6125
Hf 3.9824 0.9304 0.5716
B 2.6619 2.7913 1.5550
B 2.5596 0.9304 4.5601
Hf 3.8499 2.7913 3.6292
B 0.0511 2.7913 1.5026
H 2.1271 0.9304 5.8072

=====

12
Lattice="3.3558 0.0000 0.0000 -1.6779 6.0828 -0.0685 0.0000 -2.8335 5.5607" Properties=species:S:1:pos:R:3 comment="Hf2BH3 | Alexandria via LeMat-Bulk | PBE | relaxed" crystal_system=monoclinic total_energy_ev_per_cell=-78.2 pbc="T T T"
H 0.0000 3.7866 2.0015
Hf 1.6779 -0.4579 1.3797
B 1.6779 1.8806 5.3374
Hf 1.6779 2.6557 1.3448
Hf 0.0000 3.7072 4.1125
B 0.0000 1.3687 0.1548
H 0.0000 2.1886 2.8466
Hf 0.0000 0.5936 4.1474
H 1.6779 -0.5373 3.4907
H 1.6779 3.5682 3.1107
H 1.6779 1.0607 2.6456
H 0.0000 -0.3189 2.3815

=====

4
Lattice="-3.8569 -0.2244 0.2796 -2.2286 2.5791 -1.8400 -2.1035 -1.0941 -3.0631" Properties=species:S:1:pos:R:3 comment="HfB2H | Alexandria via LeMat-Bulk | PBE | relaxed" relative_energy_kj_per_mol_fu=438 crystal_system=cubic pbc="T T T"
B -2.0472 0.3151 -1.1559
Hf -4.0945 0.6303 -2.3117
H 0.0000 0.0000 0.0000
B -6.1417 0.9454 -3.4676

=====

5
Lattice="-1.5907 1.7214 2.5666 0.3831 -2.7545 2.0849 3.0666 1.2371 1.0709" Properties=species:S:1:pos:R:3 comment="HfB3H | Alexandria via LeMat-Bulk | PBE | relaxed" relative_energy_kj_per_mol_fu=0 crystal_system=cubic pbc="T T T"
H 0.0000 0.0000 0.0000
B 0.1915 -1.3773 1.0424
B -0.7954 0.8607 1.2833
Hf 0.9294 0.1020 2.8612
B 1.5333 0.6185 0.5355

=====

8
Lattice="3.4531 0.0000 0.0000 0.0000 3.4531 0.0000 1.7266 1.7266 5.4574" Properties=species:S:1:pos:R:3 comment="HfBH2 | Alexandria via LeMat-Bulk | PBE | relaxed" relative_energy_kj_per_mol_fu=40 crystal_system=tetragonal pbc="T T T"
H 1.6991 2.5898 1.3644
H 2.5898 3.4257 4.0931
H 4.3164 3.4805 4.0931
B 1.7266 3.4531 2.7287
Hf 3.4531 1.7266 2.7287
Hf 0.0000 0.0000 0.0000
H 1.7540 0.8633 1.3644
B 1.7266 1.7266 0.0000

=====

10
Lattice="-2.2625 -1.5908 5.0713 4.4073 -3.6395 0.8361 3.1686 0.3478 4.8216" Properties=species:S:1:pos:R:3 comment="Hf2BHIr6 | Alexandria via LeMat-Bulk | PBE | relaxed" crystal_system=tetragonal total_energy_ev_per_cell=-89.9 pbc="T T T"
Ir -0.6299 -2.0922 4.0345
Ir 4.7877 -3.6015 9.2816
Hf 4.3241 -2.9533 4.3059
Ir 2.1425 -1.1030 3.9076
Ir 0.5256 -1.2810 1.4475
Hf 0.9892 -1.9292 6.4232
H 0.0000 0.0000 0.0000
Ir 2.7746 -3.1381 1.8729
B 1.0724 -2.6151 2.9537
Ir 3.1708 -3.7795 6.8215

=====

5
Lattice="-4.0078 -0.1171 -1.9514 -0.7005 -3.9885 1.6780 -1.8204 1.8460 3.6280" Properties=species:S:1:pos:R:3 comment="KHfBH2 | Alexandria via LeMat-Bulk | PBE | relaxed" crystal_system=tetragonal total_energy_ev_per_cell=-17.3 pbc="T T T"
B 0.0000 0.0000 0.0000
Hf -0.3502 -1.9942 0.8390
H -2.0039 -0.0586 -0.9757
K -3.2644 -1.1298 1.6773
H -0.9102 0.9230 1.8140

=====

5
Lattice="4.6038 0.0000 0.0000 0.0000 3.5140 0.0000 0.0000 0.0000 4.6038" Properties=species:S:1:pos:R:3 comment="HfB2HPb | Alexandria via LeMat-Bulk | PBE | relaxed" crystal_system=tetragonal total_energy_ev_per_cell=-23.1 pbc="T T T"
Pb 0.0000 0.0000 0.0000
H 0.0000 1.7570 0.0000
B 2.3019 0.0000 0.0000
Hf 2.3019 1.7570 2.3019
B 0.0000 0.0000 2.3019

=====

5
Lattice="3.8239 0.0000 0.0000 0.0000 3.5987 0.0000 0.0000 0.0000 3.8239" Properties=species:S:1:pos:R:3 comment="HfB2HPd | Alexandria via LeMat-Bulk | PBE | relaxed" crystal_system=tetragonal total_energy_ev_per_cell=-29.5 pbc="T T T"
H 0.0000 0.0000 0.0000
Pd 1.9120 1.7994 1.9120
B 1.9120 0.0000 0.0000
B 0.0000 0.0000 1.9120
Hf 0.0000 1.7994 0.0000

=====

5
Lattice="3.5448 0.0000 0.0000 0.0000 4.3960 0.0000 0.0000 0.0000 3.5448" Properties=species:S:1:pos:R:3 comment="HfTaBH2 | Alexandria via LeMat-Bulk | PBE | relaxed" crystal_system=tetragonal total_energy_ev_per_cell=-35.6 pbc="T T T"
H 1.7724 0.0000 0.0000
Hf 1.7724 2.1980 1.7724
B 0.0000 2.1980 0.0000
H 0.0000 0.0000 1.7724
Ta 0.0000 0.0000 0.0000

=====

5
Lattice="4.7613 0.0000 0.0000 0.0000 3.9566 0.0000 0.0000 0.0000 4.7613" Properties=species:S:1:pos:R:3 comment="Hf2VBH | Alexandria via LeMat-Bulk | PBE | relaxed" crystal_system=tetragonal total_energy_ev_per_cell=-32.9 pbc="T T T"
Hf 2.3806 0.0000 0.0000
B 0.0000 1.9783 0.0000
V 0.0000 0.0000 0.0000
H 2.3806 1.9783 2.3806
Hf 0.0000 0.0000 2.3806

=====

5
Lattice="-5.1160 1.3143 -0.3651 -0.1906 -1.5644 -2.9606 -1.3305 -4.4953 2.4610" Properties=species:S:1:pos:R:3 comment="HfZr2BH | Alexandria via LeMat-Bulk | PBE | relaxed" crystal_system=tetragonal total_energy_ev_per_cell=-30.6 pbc="T T T"
Zr -0.6653 -2.2476 1.2305
Hf 0.0000 0.0000 0.0000
B -3.3186 -2.3727 -0.4324
Zr -2.5580 0.6572 -0.1826
H -0.0953 -0.7822 -1.4803

=====

5
Lattice="-3.5463 0.5638 0.7676 0.5276 -1.3012 3.3929 0.7929 3.3871 1.1757" Properties=species:S:1:pos:R:3 comment="HgB3H | Alexandria via LeMat-Bulk | PBE | relaxed" relative_energy_kj_per_mol_fu=0 crystal_system=cubic pbc="T T T"
B 0.3965 1.6935 0.5878
B -1.7731 0.2819 0.3838
B 0.2638 -0.6506 1.6964
Hg -1.1129 1.3248 2.6681
H 0.0000 0.0000 0.0000

=====

4
Lattice="-3.5994 -2.1776 1.2403 -2.1241 1.1748 3.6530 -3.9311 1.9259 -0.2722" Properties=species:S:1:pos:R:3 comment="Hg2BH | Alexandria via LeMat-Bulk | PBE | relaxed" relative_energy_kj_per_mol_fu=135 crystal_system=cubic pbc="T T T"
B -4.8273 0.4616 2.3106
Hg -7.2409 0.6923 3.4659
Hg -2.4136 0.2308 1.1553
H 0.0000 0.0000 0.0000

=====

4
Lattice="2.9671 -1.5037 2.1130 0.1792 -3.8807 0.6616 2.7725 -2.1738 -1.7655" Properties=species:S:1:pos:R:3 comment="HgB2H | Alexandria via LeMat-Bulk | PBE | relaxed" relative_energy_kj_per_mol_fu=375 crystal_system=cubic pbc="T T T"
H 0.0000 0.0000 0.0000
B 1.4797 -1.8895 0.2523
Hg 2.9594 -3.7791 0.5045
B 4.4391 -5.6686 0.7568

=====

4
Lattice="-0.9335 -1.8108 3.2571 -1.7895 1.9081 2.8136 -3.6832 -0.7534 0.7913" Properties=species:S:1:pos:R:3 comment="HgBH2 | Alexandria via LeMat-Bulk | PBE | relaxed" relative_energy_kj_per_mol_fu=332 crystal_system=cubic pbc="T T T"
B 0.0000 0.0000 0.0000
H -1.6015 -0.1640 1.7155
H -4.8046 -0.4921 5.1465
Hg -3.2031 -0.3281 3.4310